(1)
Compound: NiRuBr2
Source: the Alexandria database
Functional: GGA-PBEsol
Structure: relaxed

Cell: 3.1052 3.9154 5.8928 Å, 90.00 90.00 90.00°
Closest atoms and distances in Å follow each position.
Space group Pmmm (No. 47)
Symmetry-distinct sites (fractional):
Ni1 0.0000 0.0000 0.0000 [1 per cell]  4 Br 2.50
Ru1 0.5000 0.0000 0.5000 [1 per cell]  4 Br 2.50
Br1 0.0000 0.5000 0.5000 [1 per cell]  4 Ru 2.50
Br2 0.5000 0.5000 0.0000 [1 per cell]  4 Ni 2.50

Calculated values
ΔE_f (raw) = 0.800 eV/atom

***

(2)
Compound: CsEuPO4
Source: the Alexandria database
Functional: GGA-PBEsol
Structure: relaxed

Cell: 7.8512 5.4297 10.5234 Å, 90.00 90.00 90.00°
Closest atoms and distances in Å follow each position.
Space group Pnma (No. 62)
Symmetry-distinct sites (fractional):
Cs1 0.1285 0.2500 0.0686 [4 per cell]  8 O 2.87-3.17
Eu1 0.0369 0.2500 0.6733 [4 per cell]  5 O 2.41-2.69
P1 0.1905 0.2500 0.3891 [4 per cell]  4 O 1.56
O1 0.0064 0.7500 0.5934 [4 per cell]  1 P 1.56
O2 0.2297 0.7500 0.0245 [4 per cell]  1 P 1.56
O3 0.2441 0.0126 0.3163 [8 per cell]  1 P 1.56

Calculated values
ΔE_f (raw) = -2.573 eV/atom

***

(3)
Compound: Tl2Mo9S11
Source: the Alexandria database
Functional: GGA-PBEsol
Structure: relaxed

Cell: 9.1803 9.1803 35.0467 Å, 90.00 90.00 120.00°
Closest atoms and distances in Å follow each position.
Space group R-3 (No. 148, hexagonal axes)
Symmetry-distinct sites (fractional):
Tl1 0.0000 0.0000 0.1680 [6 per cell]  4 S 2.91-3.25
Tl2 0.0000 0.0000 0.2698 [6 per cell]  4 S 2.89-3.05
Mo1 0.0131 0.1745 0.4692 [18 per cell]  4 S 2.39-2.56, 4 Mo 2.65-2.68
Mo2 0.0163 0.1752 0.5957 [18 per cell]  5 S 2.38-2.58, 2 Mo 2.67
Mo3 0.0163 0.1774 0.0331 [18 per cell]  5 S 2.40-2.45
S1 0.0000 0.0000 0.0850 [6 per cell]  3 Mo 2.40
S2 0.0000 0.0000 0.3524 [6 per cell]  3 Mo 2.38
S3 0.0136 0.3702 0.1989 [18 per cell]  4 Mo 2.46-2.58
S4 0.0153 0.3785 0.0776 [18 per cell]  4 Mo 2.39-2.44
S5 0.0146 0.3808 0.6403 [18 per cell]  4 Mo 2.41-2.46

Calculated values
ΔE to the lowest computed polymorph = 0 meV/atom
ΔE_f (raw) = -0.703 eV/atom

***

(4)
Compound: AlTlPb2
Source: the Alexandria database
Functional: GGA-PBEsol
Structure: relaxed

Cell: 4.7154 4.7154 9.6098 Å, 90.00 90.00 90.00°
Closest atoms and distances in Å follow each position.
Space group I4/mmm (No. 139)
Symmetry-distinct sites (fractional):
Al1 0.0000 0.0000 0.0000 [2 per cell]  4 Tl 3.33, 8 Pb 3.37
Tl1 0.0000 0.0000 0.5000 [2 per cell]  4 Al 3.33, 8 Pb 3.37
Pb1 0.0000 0.5000 0.2500 [4 per cell]  4 Pb 3.33, 4 Tl 3.37, 4 Al 3.37

Calculated values
ΔE to the lowest computed polymorph = 52 meV/atom
formation energy = 0.172 eV/atom

***

(5)
Compound: In2TePb
Source: the Alexandria database
Functional: GGA-PBEsol
Structure: relaxed

Cell: 7.6144 7.6144 7.6144 Å, 90.00 90.00 90.00°
Closest atoms and distances in Å follow each position.
Space group Fm-3m (No. 225)
Symmetry-distinct sites (fractional):
In1 0.2500 0.2500 0.2500 [8 per cell]  4 Pb 3.30, 4 Te 3.30
Te1 0.0000 0.0000 0.0000 [4 per cell]  8 In 3.30
Pb1 0.0000 0.0000 0.5000 [4 per cell]  8 In 3.30

Calculated values
ΔE to the lowest computed polymorph = 105 meV/atom
ΔE_f (raw) = 0.025 eV/atom

***

(6)
Compound: Be3Mo2
Source: the Alexandria database
Functional: GGA-PBEsol
Structure: relaxed

Cell: 7.9175 11.6846 4.6018 Å, 90.00 90.00 90.00°
Closest atoms and distances in Å follow each position.
Space group Fdd2 (No. 43)
Symmetry-distinct sites (fractional):
Be1 0.0000 0.0000 0.0000 [8 per cell]  4 Be 2.05-2.10
Be2 0.0766 0.3786 0.1918 [16 per cell]  4 Be 2.05-2.29
Mo1 0.0782 0.3026 0.6973 [16 per cell]  9 Be 2.40-2.68

Calculated values
formation energy = -0.187 eV/atom

***

| no. | energy (eV per atom) |
| --- | --- |
| 1 | -4.22 |
| 2 | -8.04 |
| 3 | -7.95 |
| 4 | -3.51 |
| 5 | -3.35 |
| 6 | -7.29 |